Density functional theory data (PBE) for a relaxed structure of BaPr2Ru.

Distance to the lowest polymorph of the same formula (meV/atom): 38
Space group: No. 123
M_tot (μB/f.u.): 0.00
Total DFT energy (no corrections) (eV per atom): -5.1935

Cell lengths 3.616, 3.616, 10.488 Å; angles 90.00, 90.00, 90.00 degrees
Sites, in units of the cell vectors:
1 Pr 0.000 0.000 0.839
2 Pr 0.000 0.000 0.161
3 Ru 0.500 0.500 0.000
4 Ba 0.500 0.500 0.500